Entry from the Alexandria database: a relaxed NiRh3F crystal (PBE with a Hubbard U).

The energy relative to the lowest polymorph listed for this composition comes out at 331 meV/atom. For the final energy, the calculation gives -19.386 eV per cell. The value obtained for the calculated volume is 92.7 Å³/cell.

The space group is Pm-3m (No. 221) and the conventional cell measures 4.5265, 4.5265 and 4.5265 Å, with angles of 90.00, 90.00 and 90.00 degrees. Symmetry generates all atoms from Ni at (0.0000, 0.0000, 0.0000), Rh at (0.0000, 0.0000, 0.5000) and F at (0.5000, 0.5000, 0.5000).